Entry from the Alexandria database: a relaxed RbNa2Ag2 crystal (PBEsol).

## Properties
For the size of the total moment, the calculation gives 0.00 μB per formula unit. The total energy is -1.978 eV/atom.

extended XYZ file:
```
5
Lattice="4.8209 0.0000 0.0000 0.0000 4.8209 0.0000 -2.4105 -2.4105 6.6096" Properties=species:S:1:pos:R:3 pbc="T T T"
Na 0.0000 2.4105 3.3048
Na 2.4105 0.0000 3.3048
Ag 0.0000 0.0000 5.2583
Ag 2.4105 2.4105 1.3513
Rb 0.0000 0.0000 0.0000
```